Entry from Alexandria: ZrZnOsRh after structural relaxation (PBE).

Cell and atoms, written as POSCAR:
```
ZrZnOsRh
1.0
4.484 0.000 0.000
2.242 3.883 0.000
2.242 1.294 3.661
Rh Os Zn Zr
1 1 1 1
Cartesian
4.484 2.589 1.830 Rh
0.000 0.000 0.000 Os
2.242 1.294 0.915 Zn
6.726 3.883 2.746 Zr
```

- space-group type = No. 216
- total moment (μB/f.u.) = 0.00
- energy of formation from the pure elements (eV/f.u.) = -1.38
- density of states at the Fermi level (states/eV/atom) = 0.912